Entry from the Alexandria database: a geometry-optimized AcYMgRh structure (PBE).

a b c (Å): 5.2965 5.2965 5.2965
angles (deg): 60.00 60.00 60.00
Closest atoms and distances in Å follow each position.
Element x y z (fractional)
1 Ac 0.0000 0.0000 0.0000  4 Mg 3.24, 4 Rh 3.24
2 Y 0.5000 0.5000 0.5000  4 Mg 3.24, 4 Rh 3.24
3 Mg 0.7500 0.7500 0.7500  4 Ac 3.24, 4 Y 3.24
4 Rh 0.2500 0.2500 0.2500  4 Y 3.24, 4 Ac 3.24

Calculated formation energy: -260 meV per atom
Raw total energy: -5.140 eV/atom
Space group: F-43m, No. 216